This record from Alexandria via LeMat-Bulk describes a geometry-optimized Pr2SiAs structure. The functional is PBE.

Cell: 4.1037 4.4131 12.1181 Å, 100.49 90.00 90.00°
Closest atoms and distances in Å follow each position.
Fractional coordinates of all 8 atoms:
Si: 0.7500 0.5330 0.0660  2 Si 2.59
As: 0.7500 0.8121 0.6241  6 Pr 2.92-3.01
Pr: 0.2500 0.3130 0.6260  5 As 2.98-3.01
Pr: 0.7500 0.6870 0.3740  5 As 2.98-3.01
As: 0.2500 0.1879 0.3759  6 Pr 2.92-3.01
Si: 0.2500 0.4670 0.9340  2 Si 2.59
Pr: 0.7500 0.9347 0.8693  1 As 2.92, 6 Si 3.11-3.22
Pr: 0.2500 0.0653 0.1307  1 As 2.92, 6 Si 3.11-3.22

## Properties
The value obtained for the total moment is 0.0 μB per cell. As for the space-group type: No. 63. As for the energy relative to the elements, uncorrected: -423 kJ/mol of formula units. As for the total energy: -6.003 eV per atom.